Record 1
The following is a DFT calculation (PBE) of a relaxed K2TaCl crystal.

* DFT total energy: -14.73 eV/f.u.
* N(E_F): 0.634 states/eV per atom
* energy above the most stable polymorph in this dataset: 0.1577 eV per atom
* energy relative to the elements, uncorrected: 0.29 eV per atom

a = 3.241 Å, b = 3.241 Å, c = 11.250 Å
α = 90.00°, β = 90.00°, γ = 90.00°
Fractional coordinates of all 4 atoms:
1 K 0.000 0.000 0.000
2 K 0.500 0.500 0.419
3 Ta 0.000 0.000 0.685
4 Cl 0.500 0.500 0.163

---

Record 2
The following is a DFT calculation (PBE) of a relaxed KTa2Cl crystal.

* DFT total energy: -23.68 eV/f.u.
* N(E_F): 1.145 states/eV per atom
* energy above the most stable polymorph in this dataset: 0.7199 eV per atom
* energy relative to the elements, uncorrected: 0.74 eV per atom

a = 10.967 Å, b = 10.967 Å, c = 10.967 Å
α = 15.72°, β = 15.72°, γ = 15.72°
Fractional coordinates of all 4 atoms:
1 K 0.000 0.000 0.000
2 Ta 0.233 0.233 0.233
3 Ta 0.767 0.767 0.767
4 Cl 0.500 0.500 0.500

---

Record 3
The following is a DFT calculation (PBE) of a relaxed KTa2Cl crystal.

* DFT total energy: -22.60 eV/f.u.
* N(E_F): 1.078 states/eV per atom
* energy above the most stable polymorph in this dataset: 0.9890 eV per atom
* energy relative to the elements, uncorrected: 1.01 eV per atom

a = 7.868 Å, b = 7.868 Å, c = 2.782 Å
α = 90.00°, β = 90.00°, γ = 140.13°
Fractional coordinates of all 4 atoms:
1 K 0.000 0.000 0.000
2 Ta 0.000 0.500 0.500
3 Ta 0.500 0.000 0.500
4 Cl 0.500 0.500 0.000

---

Record 4
The following is a DFT calculation (PBE) of a relaxed KTa2Cl crystal.

* DFT total energy: -26.37 eV/f.u.
* N(E_F): 0.555 states/eV per atom
* energy above the most stable polymorph in this dataset: 0.0467 eV per atom
* energy relative to the elements, uncorrected: 0.07 eV per atom

a = 3.520 Å, b = 3.520 Å, c = 9.852 Å
α = 101.73°, β = 101.73°, γ = 51.95°
Fractional coordinates of all 4 atoms:
1 K 0.000 0.000 0.000
2 Ta 0.639 0.639 0.527
3 Ta 0.868 0.868 0.331
4 Cl 0.219 0.219 0.753

---

Record 5
The following is a DFT calculation (PBE) of a relaxed K2TaCl crystal.

* DFT total energy: -14.54 eV/f.u.
* N(E_F): 0.547 states/eV per atom
* energy above the most stable polymorph in this dataset: 0.2049 eV per atom
* energy relative to the elements, uncorrected: 0.34 eV per atom

a = 11.506 Å, b = 11.506 Å, c = 11.506 Å
α = 17.15°, β = 17.15°, γ = 17.15°
Fractional coordinates of all 4 atoms:
1 K 0.000 0.000 0.000
2 K 0.214 0.214 0.214
3 Ta 0.459 0.459 0.459
4 Cl 0.743 0.743 0.743

---

Record 6
The following is a DFT calculation (PBE) of a relaxed K2TaCl crystal.

* DFT total energy: -14.16 eV/f.u.
* N(E_F): 0.748 states/eV per atom
* energy above the most stable polymorph in this dataset: 0.2990 eV per atom
* energy relative to the elements, uncorrected: 0.43 eV per atom

a = 3.265 Å, b = 3.265 Å, c = 11.441 Å
α = 90.00°, β = 90.00°, γ = 110.80°
Fractional coordinates of all 4 atoms:
1 K 0.000 0.000 0.000
2 K 0.500 0.500 0.360
3 Ta 0.000 0.000 0.624
4 Cl 0.500 0.500 0.791

---

Record 7
The following is a DFT calculation (PBE) of a relaxed K3TaCl crystal.

* DFT total energy: -14.82 eV/f.u.
* N(E_F): 0.565 states/eV per atom
* energy above the most stable polymorph in this dataset: 0.0000 eV per atom
* energy relative to the elements, uncorrected: 0.43 eV per atom

a = 5.991 Å, b = 5.991 Å, c = 5.991 Å
α = 90.00°, β = 90.00°, γ = 90.00°
Fractional coordinates of all 5 atoms:
1 K 0.000 0.000 0.500
2 K 0.000 0.500 0.000
3 K 0.500 0.000 0.000
4 Ta 0.500 0.500 0.500
5 Cl 0.000 0.000 0.000

---

Record 8
The following is a DFT calculation (PBE) of a relaxed KTa2Cl crystal.

* DFT total energy: -23.86 eV/f.u.
* N(E_F): 0.676 states/eV per atom
* energy above the most stable polymorph in this dataset: 0.6726 eV per atom
* energy relative to the elements, uncorrected: 0.70 eV per atom

a = 3.861 Å, b = 3.861 Å, c = 7.798 Å
α = 90.00°, β = 90.00°, γ = 90.00°
Fractional coordinates of all 4 atoms:
1 K 0.000 0.000 0.000
2 Ta 0.000 0.500 0.500
3 Ta 0.500 0.000 0.500
4 Cl 0.500 0.500 0.000

---

Record 9
The following is a DFT calculation (PBE) of a relaxed KTa2Cl crystal.

* DFT total energy: -22.54 eV/f.u.
* N(E_F): 0.980 states/eV per atom
* energy above the most stable polymorph in this dataset: 1.0026 eV per atom
* energy relative to the elements, uncorrected: 1.03 eV per atom

a = 2.964 Å, b = 2.964 Å, c = 9.790 Å
α = 90.00°, β = 90.00°, γ = 90.00°
Fractional coordinates of all 4 atoms:
1 K 0.000 0.000 0.000
2 Ta 0.500 0.500 0.325
3 Ta 0.500 0.500 0.675
4 Cl 0.000 0.000 0.500

---

Record 10
The following is a DFT calculation (PBE) of a relaxed K2TaCl crystal.

* DFT total energy: -12.72 eV/f.u.
* N(E_F): 1.733 states/eV per atom
* energy above the most stable polymorph in this dataset: 0.6603 eV per atom
* energy relative to the elements, uncorrected: 0.79 eV per atom

a = 7.293 Å, b = 7.293 Å, c = 7.293 Å
α = 141.42°, β = 141.42°, γ = 55.71°
Fractional coordinates of all 4 atoms:
1 K 0.000 0.000 0.000
2 K 0.750 0.250 0.500
3 Ta 0.250 0.750 0.500
4 Cl 0.500 0.500 0.000

---

Record 11
The following is a DFT calculation (PBE) of a relaxed KTa3Cl crystal.

* DFT total energy: -22.13 eV/f.u.
* N(E_F): 1.398 states/eV per atom
* energy above the most stable polymorph in this dataset: 1.7934 eV per atom
* energy relative to the elements, uncorrected: 3.27 eV per atom

a = 4.803 Å, b = 4.803 Å, c = 4.803 Å
α = 90.00°, β = 90.00°, γ = 90.00°
Fractional coordinates of all 5 atoms:
1 K 0.000 0.000 0.000
2 Ta 0.000 0.000 0.500
3 Ta 0.000 0.500 0.000
4 Ta 0.500 0.000 0.000
5 Cl 0.500 0.500 0.500

---

Record 12
The following is a DFT calculation (PBE) of a relaxed K6TaCl12 crystal.

* DFT total energy: -71.04 eV/f.u.
* N(E_F): 0.498 states/eV per atom
* energy relative to the elements, uncorrected: -1.60 eV per atom

a = 9.012 Å, b = 9.012 Å, c = 9.012 Å
α = 92.19°, β = 92.19°, γ = 92.19°
Fractional coordinates of all 19 atoms:
1 K 0.149 0.847 0.668
2 K 0.153 0.332 0.851
3 K 0.332 0.851 0.153
4 K 0.668 0.149 0.847
5 K 0.847 0.668 0.149
6 K 0.851 0.153 0.332
7 Ta 0.500 0.500 0.500
8 Cl 0.058 0.886 0.341
9 Cl 0.114 0.659 0.942
10 Cl 0.237 0.478 0.510
11 Cl 0.341 0.058 0.886
12 Cl 0.478 0.510 0.237
13 Cl 0.490 0.763 0.522
14 Cl 0.510 0.237 0.478
15 Cl 0.522 0.490 0.763
16 Cl 0.659 0.942 0.114
17 Cl 0.763 0.522 0.490
18 Cl 0.886 0.341 0.058
19 Cl 0.942 0.114 0.659

---

Please write out number 2 again, unchanged.
The following is a DFT calculation (PBE) of a relaxed KTa2Cl crystal.

* DFT total energy: -23.68 eV/f.u.
* N(E_F): 1.145 states/eV per atom
* energy above the most stable polymorph in this dataset: 0.7199 eV per atom
* energy relative to the elements, uncorrected: 0.74 eV per atom

a = 10.967 Å, b = 10.967 Å, c = 10.967 Å
α = 15.72°, β = 15.72°, γ = 15.72°
Fractional coordinates of all 4 atoms:
1 K 0.000 0.000 0.000
2 Ta 0.233 0.233 0.233
3 Ta 0.767 0.767 0.767
4 Cl 0.500 0.500 0.500

---

Among the records above, which one has the lowest DFT total energy?
K6TaCl12

---

Look up the N(E_F) of the twelfth one.
0.498 states/eV per atom